No. 1
Below is an optimized crystal structure of PuNbS, with properties calculated at the PBE level.

a = 3.6189 Å, b = 4.8195 Å, c = 7.1693 Å
α = 90.00°, β = 90.00°, γ = 90.00°
Sites, in units of the cell vectors:
Pu: 0.2500 0.2500 0.0787
Pu: 0.7500 0.7500 0.9213
Nb: 0.2500 0.2500 0.5790
Nb: 0.7500 0.7500 0.4210
S: 0.2500 0.7500 0.6506
S: 0.7500 0.2500 0.3494

Calculated values
energy relative to the elements, uncorrected: -514 meV per atom
N(E_F): 2.41 states/eV/atom
E_tot: -10.024 eV per atom



No. 2
Below is an optimized crystal structure of Nd3YAl, with properties calculated at the PBE level.

a = 7.0899 Å, b = 5.2491 Å, c = 8.3926 Å
α = 90.00°, β = 97.37°, γ = 90.00°
Sites, in units of the cell vectors:
Nd: 0.0751 0.2500 0.3417
Nd: 0.1939 0.7500 0.0512
Nd: 0.3536 0.7500 0.4914
Nd: 0.6464 0.2500 0.5086
Nd: 0.8061 0.2500 0.9488
Nd: 0.9249 0.7500 0.6583
Y: 0.2835 0.2500 0.7816
Y: 0.7165 0.7500 0.2184
Al: 0.4482 0.2500 0.1581
Al: 0.5518 0.7500 0.8419

Calculated values
energy of formation: -11 kJ/mol of atoms
N(E_F): 1.11 states/eV/atom
E_tot: -5.016 eV per atom



No. 3
Below is an optimized crystal structure of La5SmHoCd2, with properties calculated at the PBE level.

a = 9.8422 Å, b = 9.8422 Å, c = 9.8422 Å
α = 126.13°, β = 126.13°, γ = 79.68°
Sites, in units of the cell vectors:
La: 0.0000 0.0000 0.0000
La: 0.0714 0.5714 0.9067
La: 0.1647 0.0714 0.5000
La: 0.3353 0.8353 0.9067
La: 0.4286 0.3353 0.5000
La: 0.5000 0.5000 0.0000
La: 0.5714 0.6647 0.5000
La: 0.6647 0.1647 0.0933
La: 0.8353 0.9286 0.5000
La: 0.9286 0.4286 0.0933
Sm: 0.2500 0.7500 0.5000
Sm: 0.7500 0.2500 0.5000
Ho: 0.2500 0.2500 0.0000
Ho: 0.7500 0.7500 0.0000
Cd: 0.1067 0.3933 0.5000
Cd: 0.3933 0.8933 0.2866
Cd: 0.6067 0.1067 0.7134
Cd: 0.8933 0.6067 0.5000

Calculated values
energy of formation: 3 kJ/mol of atoms
N(E_F): 1.53 states/eV/atom
E_tot: -3.942 eV per atom



No. 4
Below is an optimized crystal structure of BeHgS2, with properties calculated at the PBE level.

a = 3.7155 Å, b = 3.7155 Å, c = 5.1984 Å
α = 90.00°, β = 90.00°, γ = 90.00°
Sites, in units of the cell vectors:
Be: 0.0000 0.0000 0.0000
Hg: 0.5000 0.5000 0.5000
S: 0.0000 0.0000 0.5000
S: 0.5000 0.5000 0.0000

Calculated values
energy relative to the elements, uncorrected: 88 meV per atom
N(E_F): 0.21 states/eV/atom
E_tot: -2.983 eV per atom



No. 5
Below is an optimized crystal structure of TmMn4Nb, with properties calculated at the PBE level.

a = 4.9498 Å, b = 4.9498 Å, c = 4.9498 Å
α = 60.00°, β = 60.00°, γ = 60.00°
Sites, in units of the cell vectors:
Tm: 0.0000 0.0000 0.0000
Mn: 0.1263 0.6246 0.6246
Mn: 0.6246 0.1263 0.6246
Mn: 0.6246 0.6246 0.1263
Mn: 0.6246 0.6246 0.6246
Nb: 0.2500 0.2500 0.2500

Calculated values
energy of formation: -2 kJ/mol of atoms
N(E_F): 0.97 states/eV/atom
E_tot: -8.558 eV per atom



No. 6
Below is an optimized crystal structure of Mn2RhAu2, with properties calculated at the PBE level.

a = 7.2882 Å, b = 7.2882 Å, c = 2.8407 Å
α = 90.00°, β = 90.00°, γ = 90.00°
Sites, in units of the cell vectors:
Mn: 0.1628 0.3372 0.0000
Mn: 0.3372 0.8372 0.0000
Mn: 0.6629 0.1628 0.0000
Mn: 0.8372 0.6629 0.0000
Rh: 0.0000 0.0000 0.5000
Rh: 0.5000 0.5000 0.5000
Au: 0.1366 0.6366 0.5000
Au: 0.3634 0.1366 0.5000
Au: 0.6366 0.8634 0.5000
Au: 0.8634 0.3634 0.5000

Calculated values
energy of formation: 71 kJ/mol of atoms
N(E_F): 2.31 states/eV/atom
E_tot: -5.713 eV per atom



No. 7
Below is an optimized crystal structure of Ba6P2SeCl3, with properties calculated at the PBE level.

a = 8.0837 Å, b = 8.0837 Å, c = 8.0490 Å
α = 99.63°, β = 99.63°, γ = 120.02°
Sites, in units of the cell vectors:
Ba: 0.0800 0.4239 0.7715
Ba: 0.2323 0.2323 0.2285
Ba: 0.4239 0.0800 0.7715
Ba: 0.5761 0.9200 0.2285
Ba: 0.7677 0.7677 0.7715
Ba: 0.9200 0.5761 0.2285
P: 0.1667 0.8333 0.0000
P: 0.8333 0.1667 0.0000
Se: 0.5000 0.5000 0.0000
Cl: 0.0000 0.0000 0.5000
Cl: 0.3347 0.6653 0.5000
Cl: 0.6653 0.3347 0.5000

Calculated values
energy relative to the elements, uncorrected: -1774 meV per atom
N(E_F): 0.32 states/eV/atom
E_tot: -4.389 eV per atom



No. 8
Below is an optimized crystal structure of LaTl2Ga2, with properties calculated at the PBE level.

a = 7.3029 Å, b = 7.3029 Å, c = 7.3029 Å
α = 141.32°, β = 141.32°, γ = 55.86°
Sites, in units of the cell vectors:
La: 0.0000 0.0000 0.0000
Tl: 0.3813 0.3813 0.0000
Tl: 0.6187 0.6187 0.0000
Ga: 0.2500 0.7500 0.5000
Ga: 0.7500 0.2500 0.5000

Calculated values
energy of formation: -6 kJ/mol of atoms
N(E_F): 0.93 states/eV/atom
E_tot: -3.208 eV per atom



No. 9
Below is an optimized crystal structure of IrPt2Br, with properties calculated at the PBE level.

a = 5.7255 Å, b = 5.7255 Å, c = 5.7255 Å
α = 151.60°, β = 129.30°, γ = 59.13°
Sites, in units of the cell vectors:
Ir: 0.0000 0.0000 0.0000
Pt: 0.5192 0.5192 0.0000
Pt: 0.7725 0.2725 0.5000
Br: 0.2221 0.7221 0.5000

Calculated values
energy relative to the elements, uncorrected: 659 meV per atom
N(E_F): 1.11 states/eV/atom
E_tot: -4.995 eV per atom



No. 10
Below is an optimized crystal structure of TiOsF2, with properties calculated at the PBE level.

a = 7.5853 Å, b = 7.5853 Å, c = 7.5853 Å
α = 20.65°, β = 20.65°, γ = 20.65°
Sites, in units of the cell vectors:
Ti: 0.0000 0.0000 0.0000
Os: 0.5000 0.5000 0.5000
F: 0.4013 0.4013 0.4013
F: 0.5987 0.5987 0.5987

Calculated values
energy relative to the elements, uncorrected: -1118 meV per atom
N(E_F): 0.91 states/eV/atom
E_tot: -6.835 eV per atom



No. 11
Below is an optimized crystal structure of LuAlRu2, with properties calculated at the PBE level.

a = 4.4296 Å, b = 4.4296 Å, c = 3.2677 Å
α = 90.00°, β = 90.00°, γ = 90.00°
Sites, in units of the cell vectors:
Lu: 0.0000 0.0000 0.0000
Al: 0.5000 0.5000 0.0000
Ru: 0.0000 0.5000 0.5000
Ru: 0.5000 0.0000 0.5000

Calculated values
energy of formation: -47 kJ/mol of atoms
N(E_F): 1.29 states/eV/atom
E_tot: -7.189 eV per atom



No. 12
Below is an optimized crystal structure of Pr2PbCl8, with properties calculated at the PBE level.

a = 7.6224 Å, b = 7.6224 Å, c = 5.5384 Å
α = 98.26°, β = 98.26°, γ = 111.36°
Sites, in units of the cell vectors:
Pr: 0.1841 0.8159 0.0000
Pr: 0.8159 0.1841 0.0000
Pb: 0.5000 0.5000 0.5000
Cl: 0.1278 0.1278 0.3083
Cl: 0.1737 0.4350 0.9114
Cl: 0.2644 0.7356 0.5000
Cl: 0.4350 0.1737 0.9114
Cl: 0.5650 0.8263 0.0886
Cl: 0.7356 0.2644 0.5000
Cl: 0.8263 0.5650 0.0886
Cl: 0.8722 0.8722 0.6917

Calculated values
energy relative to the elements, uncorrected: -1911 meV per atom
N(E_F): 0.00 states/eV/atom
E_tot: -4.460 eV per atom



No. 13
Below is an optimized crystal structure of RbScGaS4, with properties calculated at the PBE level.

a = 6.6273 Å, b = 5.6804 Å, c = 9.3885 Å
α = 90.00°, β = 106.70°, γ = 90.00°
Sites, in units of the cell vectors:
Rb: 0.2478 0.2500 0.4544
Rb: 0.7522 0.7500 0.5456
Sc: 0.2452 0.2500 0.9433
Sc: 0.7548 0.7500 0.0567
Ga: 0.2447 0.7500 0.1628
Ga: 0.7553 0.2500 0.8372
S: 0.0418 0.7500 0.3133
S: 0.0562 0.7500 0.9224
S: 0.4832 0.5179 0.8099
S: 0.4832 0.9821 0.8099
S: 0.5168 0.0179 0.1900
S: 0.5168 0.4821 0.1900
S: 0.9438 0.2500 0.0776
S: 0.9582 0.2500 0.6867

Calculated values
energy relative to the elements, uncorrected: -1098 meV per atom
N(E_F): 0.26 states/eV/atom
E_tot: -4.932 eV per atom



No. 14
Below is an optimized crystal structure of AcNd4Er2Tm, with properties calculated at the PBE level.

a = 5.1509 Å, b = 5.1924 Å, c = 10.2931 Å
α = 90.00°, β = 90.00°, γ = 90.00°
Sites, in units of the cell vectors:
Ac: 0.0000 0.0000 0.0000
Nd: 0.0000 0.5000 0.2582
Nd: 0.0000 0.5000 0.7418
Nd: 0.5000 0.0000 0.2589
Nd: 0.5000 0.0000 0.7411
Er: 0.0000 0.0000 0.5000
Er: 0.5000 0.5000 0.0000
Tm: 0.5000 0.5000 0.5000

Calculated values
energy of formation: 3 kJ/mol of atoms
N(E_F): 1.44 states/eV/atom
E_tot: -4.566 eV per atom



No. 15
Below is an optimized crystal structure of Sr2Bi3SbRh4, with properties calculated at the PBE level.

a = 4.7069 Å, b = 4.7069 Å, c = 10.9168 Å
α = 90.00°, β = 90.00°, γ = 90.00°
Sites, in units of the cell vectors:
Sr: 0.0000 0.5000 0.2493
Sr: 0.5000 0.0000 0.7507
Bi: 0.0000 0.5000 0.8712
Bi: 0.5000 0.0000 0.1288
Bi: 0.5000 0.5000 0.5000
Sb: 0.0000 0.0000 0.5000
Rh: 0.0000 0.0000 0.0000
Rh: 0.0000 0.5000 0.6224
Rh: 0.5000 0.0000 0.3776
Rh: 0.5000 0.5000 0.0000

Calculated values
energy relative to the elements, uncorrected: -485 meV per atom
N(E_F): 0.70 states/eV/atom
E_tot: -5.339 eV per atom



No. 16
Below is an optimized crystal structure of FeTc2Ir, with properties calculated at the PBE level.

a = 4.5486 Å, b = 4.5486 Å, c = 2.7529 Å
α = 90.00°, β = 90.00°, γ = 90.00°
Sites, in units of the cell vectors:
Fe: 0.0000 0.0000 0.0000
Tc: 0.0000 0.5000 0.5000
Tc: 0.5000 0.0000 0.5000
Ir: 0.5000 0.5000 0.0000

Calculated values
energy of formation: 23 kJ/mol of atoms
N(E_F): 1.23 states/eV/atom
E_tot: -9.277 eV per atom



No. 17
Below is an optimized crystal structure of CeHoEr2, with properties calculated at the PBE level.

a = 11.4978 Å, b = 11.4978 Å, c = 6.3770 Å
α = 94.36°, β = 94.36°, γ = 16.88°
Sites, in units of the cell vectors:
Ce: 0.0017 0.0017 0.2101
Ce: 0.9983 0.9983 0.7899
Ho: 0.2498 0.2498 0.2566
Ho: 0.7502 0.7502 0.7434
Er: 0.1255 0.1255 0.5385
Er: 0.3767 0.3767 0.9620
Er: 0.6233 0.6233 0.0380
Er: 0.8745 0.8745 0.4615

Calculated values
energy of formation: 11 kJ/mol of atoms
N(E_F): 1.78 states/eV/atom
E_tot: -4.796 eV per atom



No. 18
Below is an optimized crystal structure of Zr2SbAs, with properties calculated at the PBE level.

a = 7.7074 Å, b = 7.7074 Å, c = 7.7074 Å
α = 131.78°, β = 131.78°, γ = 70.58°
Sites, in units of the cell vectors:
Zr: 0.0952 0.6250 0.9702
Zr: 0.3750 0.3452 0.4702
Zr: 0.6548 0.1250 0.0298
Zr: 0.8750 0.9048 0.5298
Sb: 0.2500 0.7500 0.5000
Sb: 0.5000 0.5000 0.0000
As: 0.0000 0.0000 0.0000
As: 0.7500 0.2500 0.5000

Calculated values
energy relative to the elements, uncorrected: -168 meV per atom
N(E_F): 0.90 states/eV/atom
E_tot: -6.635 eV per atom



No. 19
Below is an optimized crystal structure of Hf8Bi2Pb, with properties calculated at the PBE level.

a = 8.4832 Å, b = 8.4832 Å, c = 5.8739 Å
α = 105.32°, β = 105.32°, γ = 40.89°
Sites, in units of the cell vectors:
Hf: 0.0927 0.0927 0.9522
Hf: 0.1558 0.6836 0.5597
Hf: 0.2529 0.2529 0.6228
Hf: 0.3164 0.8442 0.4403
Hf: 0.6836 0.1558 0.5597
Hf: 0.7471 0.7471 0.3772
Hf: 0.8442 0.3164 0.4403
Hf: 0.9073 0.9073 0.0478
Bi: 0.2994 0.2994 0.1528
Bi: 0.7006 0.7006 0.8472
Pb: 0.5000 0.5000 0.0000

Calculated values
energy of formation: 13 kJ/mol of atoms
N(E_F): 0.93 states/eV/atom
E_tot: -8.150 eV per atom



No. 20
Below is an optimized crystal structure of Na2TiMn2, with properties calculated at the PBE level.

a = 8.5712 Å, b = 8.5712 Å, c = 2.4386 Å
α = 90.00°, β = 90.00°, γ = 90.00°
Sites, in units of the cell vectors:
Na: 0.2057 0.2943 0.0000
Na: 0.2943 0.7943 0.0000
Na: 0.7057 0.2057 0.0000
Na: 0.7943 0.7057 0.0000
Ti: 0.0000 0.0000 0.5000
Ti: 0.5000 0.5000 0.5000
Mn: 0.0805 0.5805 0.5000
Mn: 0.4195 0.0805 0.5000
Mn: 0.5805 0.9195 0.5000
Mn: 0.9195 0.4195 0.5000

Calculated values
energy of formation: 110 kJ/mol of atoms
N(E_F): 1.56 states/eV/atom
E_tot: -4.638 eV per atom



No. 21
Below is an optimized crystal structure of CsRb2PmCl6, with properties calculated at the PBE level.

a = 7.9897 Å, b = 8.4466 Å, c = 13.8582 Å
α = 90.00°, β = 124.65°, γ = 90.00°
Sites, in units of the cell vectors:
Cs: 0.0000 0.0000 0.0000
Cs: 0.0000 0.5000 0.5000
Rb: 0.2146 0.0705 0.7440
Rb: 0.2146 0.4295 0.2440
Rb: 0.7854 0.5705 0.7560
Rb: 0.7854 0.9295 0.2560
Pm: 0.5000 0.0000 0.5000
Pm: 0.5000 0.5000 0.0000
Cl: 0.1659 0.1746 0.4371
Cl: 0.1659 0.3254 0.9371
Cl: 0.2565 0.7354 0.4141
Cl: 0.2565 0.7646 0.9141
Cl: 0.4248 0.0671 0.2851
Cl: 0.4248 0.4329 0.7851
Cl: 0.5752 0.5671 0.2149
Cl: 0.5752 0.9329 0.7149
Cl: 0.7435 0.2354 0.0859
Cl: 0.7435 0.2646 0.5859
Cl: 0.8341 0.6746 0.0629
Cl: 0.8341 0.8254 0.5629

Calculated values
energy relative to the elements, uncorrected: -2134 meV per atom
N(E_F): 0.00 states/eV/atom
E_tot: -3.996 eV per atom



No. 22
Below is an optimized crystal structure of Tl2CuRh, with properties calculated at the PBE level.

a = 4.8025 Å, b = 4.8025 Å, c = 4.8025 Å
α = 60.00°, β = 60.00°, γ = 60.00°
Sites, in units of the cell vectors:
Tl: 0.0000 0.0000 0.0000
Tl: 0.2500 0.2500 0.2500
Cu: 0.7500 0.7500 0.7500
Rh: 0.5000 0.5000 0.5000

Calculated values
energy of formation: 42 kJ/mol of atoms
N(E_F): 0.98 states/eV/atom
E_tot: -3.606 eV per atom



No. 23
Below is an optimized crystal structure of K2AgHgBr6, with properties calculated at the PBE level.

a = 7.9976 Å, b = 7.7388 Å, c = 13.2069 Å
α = 90.00°, β = 124.61°, γ = 90.00°
Sites, in units of the cell vectors:
K: 0.2370 0.0505 0.2470
K: 0.2370 0.4495 0.7470
K: 0.7630 0.5505 0.2530
K: 0.7630 0.9495 0.7530
Ag: 0.5000 0.0000 0.0000
Ag: 0.5000 0.5000 0.5000
Hg: 0.0000 0.0000 0.5000
Hg: 0.0000 0.5000 0.0000
Br: 0.1376 0.2335 0.9536
Br: 0.1376 0.2665 0.4536
Br: 0.2519 0.7335 0.9444
Br: 0.2519 0.7665 0.4444
Br: 0.3636 0.0354 0.7669
Br: 0.3636 0.4646 0.2669
Br: 0.6364 0.5354 0.7331
Br: 0.6364 0.9646 0.2331
Br: 0.7481 0.2335 0.5556
Br: 0.7481 0.2665 0.0556
Br: 0.8624 0.7335 0.5464
Br: 0.8624 0.7665 0.0464

Calculated values
energy relative to the elements, uncorrected: -888 meV per atom
N(E_F): 0.56 states/eV/atom
E_tot: -2.426 eV per atom